[1]
Below is a geometry-optimized SrTe2O structure, with properties calculated at the PBE level.

extended XYZ file:
```
4
Lattice="2.6576 1.5343 6.7219 -2.6576 1.5343 6.7219 0.0000 -3.0687 6.7219" Properties=species:S:1:pos:R:3 pbc="T T T"
Sr 0.0000 0.0000 0.0000
Te 0.0000 0.0000 8.0923
Te 0.0000 0.0000 12.0733
O 0.0000 0.0000 10.0828
```

Output
M_tot   0.000 μB/atom
VASP energy   -3.8721 eV per atom
Space group   R-3m (166)
Uncorrected formation energy   -2.565 eV/f.u.
Mass density   3.6 Mg/m³


[2]
Below is a geometry-optimized HfMg2Cd structure, with properties calculated at the PBE level.

extended XYZ file:
```
4
Lattice="4.3215 0.0000 0.0000 0.0000 4.3215 0.0000 0.0000 0.0000 4.5407" Properties=species:S:1:pos:R:3 pbc="T T T"
Hf 0.0000 0.0000 0.0000
Mg 0.0000 2.1607 2.2704
Mg 2.1607 0.0000 2.2704
Cd 2.1607 2.1607 0.0000
```

Output
M_tot   0.000 μB/atom
VASP energy   -3.4731 eV per atom
Space group   P4/mmm (123)
ΔE_f   0.04 eV per atom
Mass density   6.6 Mg/m³


[3]
Below is a geometry-optimized Hf2ZnNi structure, with properties calculated at the PBE level.

extended XYZ file:
```
4
Lattice="3.2496 0.0000 0.0000 0.0000 3.2496 0.0000 0.0000 0.0000 6.4566" Properties=species:S:1:pos:R:3 pbc="T T T"
Hf 0.0000 0.0000 1.5361
Hf 0.0000 0.0000 4.9205
Zn 1.6248 1.6248 3.2283
Ni 1.6248 1.6248 0.0000
```

Output
M_tot   0.000 μB/atom
VASP energy   -7.0267 eV per atom
Space group   P4/mmm (123)
ΔE_f   -0.29 eV per atom
Mass density   11.7 Mg/m³